# 1
Here is a relaxed Li2YAg crystal from Alexandria via LeMat-Bulk. Energies are from PBE.

abc: 4.1687 4.1687 21.1319
angles: 90.00 90.00 90.00
Space group I-42d (No. 122)
Inequivalent atoms, fractional coordinates:
Li: 0.1875 0.2500 0.1250 x8
Y: 0.0000 0.0000 0.5000 x4
Ag: 0.0000 0.0000 0.0000 x4

Formation energy from the elements, eV/f.u.: 0.235
E_tot, eV per atom: -3.227
Energy above the most stable polymorph in this dataset, eV/atom: 0.155
Volume, A^3/atom: 22.95
Fermi-level density of states, states/eV per cell: 11.6

=====

# 2
Here is a relaxed Ac2TlGa2 crystal from Alexandria via LeMat-Bulk. Energies are from PBE.

abc: 4.3124 14.9178 4.6674
angles: 90.00 90.00 90.00
Space group Cmmm (No. 65)
Inequivalent atoms, fractional coordinates:
Ac: 0.0000 0.1315 0.0000 x4
Tl: 0.0000 0.5000 0.5000 x2
Ga: 0.0000 0.2963 0.5000 x4

Formation energy from the elements, eV/f.u.: -2.458
E_tot, eV per atom: -3.819
Energy above the most stable polymorph in this dataset, eV/atom: 0.000
Volume, A^3/atom: 30.03
Fermi-level density of states, states/eV per cell: 6.4

=====

# 3
Here is a relaxed FeSbWI2 crystal from Alexandria via LeMat-Bulk. Energies are from PBE.

abc: 5.1964 5.1964 4.8752
angles: 90.00 90.00 90.00
Space group P4/mmm (No. 123)
Inequivalent atoms, fractional coordinates:
Fe: 0.0000 0.0000 0.0000 x1
Sb: 0.0000 0.0000 0.5000 x1
W: 0.5000 0.5000 0.5000 x1
I: 0.0000 0.5000 0.0000 x2

E_tot, eV per atom: -4.197
Volume, A^3/atom: 26.33
Fermi-level density of states, states/eV per cell: 7.3

=====

Number 1: magnetization 0.00 μB/f.u.. Number 2: magnetization 0.00 μB/f.u.. Number 3: magnetization 4.21 μB/f.u..